# PBE Y3AuC2, relaxed
# V   117 Å³/f.u.
# ρ   6.904 g/cm³
# Total magnetic moment   0.00 μB/f.u.
# Raw total energy   -87.29 eV per cell
data_Y3AuC2
_cell_length_a 3.6515
_cell_length_b 3.6515
_cell_length_c 20.3180
_cell_angle_alpha 90.00
_cell_angle_beta 90.00
_cell_angle_gamma 120.00
_symmetry_space_group_name_H-M 'P 63/m m c'
_symmetry_Int_Tables_number 194
_symmetry_space_group_name_Hall '-P 6c 2c'
loop_
_atom_site_label
_atom_site_type_symbol
_atom_site_fract_x
_atom_site_fract_y
_atom_site_fract_z
Y1 Y 0.0000 0.0000 0.0000
Y2 Y 0.3333 0.6667 0.1355
Au1 Au 0.0000 0.0000 0.2500
C1 C 0.3333 0.6667 0.5777


# PBE Y4ZnAuC2, relaxed
# V   168 Å³/f.u.
# ρ   6.351 g/cm³
# Total magnetic moment   0.90 μB/f.u.
# Raw total energy   -51.83 eV per cell
data_Y4ZnAuC2
_cell_length_a 3.6618
_cell_length_b 3.6618
_cell_length_c 14.4557
_cell_angle_alpha 90.00
_cell_angle_beta 90.00
_cell_angle_gamma 120.00
_symmetry_space_group_name_H-M 'P -6 m 2'
_symmetry_Int_Tables_number 187
_symmetry_space_group_name_Hall 'P -6 2'
loop_
_atom_site_label
_atom_site_type_symbol
_atom_site_fract_x
_atom_site_fract_y
_atom_site_fract_z
Y1 Y 0.0000 0.0000 0.1538
Y2 Y 0.6667 0.3333 0.3397
Zn1 Zn 0.0000 0.0000 0.5000
Au1 Au 0.6667 0.3333 0.0000
C1 C 0.3333 0.6667 0.2458